Compound: Dy5Er2Te2Pd2
Source: OQMD via LeMat-Bulk
Functional: PBE
Structure: optimized geometry

Lattice parameters (Å, degrees): 9.4453 9.4453 9.4453 155.95 66.95 118.58
Fractional positions:
Dy 0.0000 0.0000 0.0000
Dy 0.0582 0.3758 0.6824
Dy 0.4534 0.5822 0.8712
Dy 0.6934 0.3758 0.3176
Dy 0.7109 0.5822 0.1288
Er 0.0905 0.7346 0.3559
Er 0.3787 0.7346 0.6441
Te 0.3349 0.3349 0.0000
Te 0.7354 0.2354 0.5000
Pd 0.3090 0.0727 0.2364
Pd 0.8363 0.0727 0.7636

Output
- M_tot: 0.0 μB per cell
- Calculated total energy: -5.280 eV/atom

=====

Compound: Dy3Er4Te2Pd2
Source: OQMD via LeMat-Bulk
Functional: PBE
Structure: optimized geometry

Lattice parameters (Å, degrees): 9.4040 9.4040 9.4040 155.89 66.98 118.58
Fractional positions:
Dy 0.0000 0.0000 0.0000
Dy 0.0576 0.3755 0.6821
Dy 0.6934 0.3755 0.3179
Er 0.0914 0.7357 0.3557
Er 0.3801 0.7357 0.6443
Er 0.4538 0.5827 0.8711
Er 0.7116 0.5827 0.1289
Te 0.3365 0.3365 0.0000
Te 0.7341 0.2341 0.5000
Pd 0.3097 0.0715 0.2382
Pd 0.8332 0.0715 0.7618

Output
- M_tot: 0.0 μB per cell
- Calculated total energy: -5.273 eV/atom

=====

Compound: Dy2ErTm4Te2Pd2
Source: OQMD via LeMat-Bulk
Functional: PBE
Structure: optimized geometry

Lattice parameters (Å, degrees): 9.3552 9.3552 9.3552 155.86 66.92 118.64
Fractional positions:
Dy 0.1440 0.0000 0.1440
Dy 0.8560 0.0000 0.8560
Er 0.7639 0.2639 0.5000
Tm 0.2187 0.8483 0.3703
Tm 0.4570 0.6392 0.8179
Tm 0.4780 0.8483 0.6297
Tm 0.8213 0.6392 0.1821
Te 0.1036 0.6036 0.5000
Te 0.4987 0.4987 0.0000
Pd 0.0712 0.3329 0.7384
Pd 0.5945 0.3329 0.2616

Output
- M_tot: 0.0 μB per cell
- Calculated total energy: -5.242 eV/atom

=====

Compound: DyEr2Tm4Te2Pd2
Source: OQMD via LeMat-Bulk
Functional: PBE
Structure: optimized geometry

Lattice parameters (Å, degrees): 9.3427 9.3427 9.3427 155.87 67.00 118.56
Fractional positions:
Dy 0.0000 0.0000 0.0000
Er 0.0578 0.3747 0.6830
Er 0.6917 0.3747 0.3170
Tm 0.0911 0.7350 0.3561
Tm 0.3789 0.7350 0.6439
Tm 0.4540 0.5835 0.8705
Tm 0.7130 0.5835 0.1295
Te 0.3384 0.3384 0.0000
Te 0.7341 0.2341 0.5000
Pd 0.3089 0.0715 0.2374
Pd 0.8341 0.0715 0.7626

Output
- M_tot: 0.0 μB per cell
- Calculated total energy: -5.238 eV/atom

=====

Compound: Dy2Y3Er2Te2Pd2
Source: OQMD via LeMat-Bulk
Functional: PBE
Structure: optimized geometry

Lattice parameters (Å, degrees): 9.4514 9.4514 9.4514 155.86 66.75 118.83
Fractional positions:
Dy 0.1288 0.0000 0.1288
Dy 0.8712 0.0000 0.8712
Y 0.2041 0.8476 0.3565
Y 0.4911 0.8476 0.6435
Y 0.5857 0.5857 0.0000
Er 0.5251 0.2079 0.3172
Er 0.8907 0.2079 0.6828
Te 0.2479 0.2479 0.0000
Te 0.8474 0.3474 0.5000
Pd 0.2782 0.5163 0.7619
Pd 0.7544 0.5163 0.2381

Output
- M_tot: 0.0 μB per cell
- Calculated total energy: -5.805 eV/atom

=====

Compound: DyY4Er2Te2Pd2
Source: OQMD via LeMat-Bulk
Functional: PBE
Structure: optimized geometry

Lattice parameters (Å, degrees): 9.4221 9.4221 9.4221 155.85 67.03 118.54
Fractional positions:
Dy 0.0000 0.0000 0.0000
Y 0.2881 0.4153 0.8728
Y 0.5425 0.4153 0.1272
Y 0.6199 0.2633 0.3567
Y 0.9066 0.2633 0.6433
Er 0.3051 0.6223 0.6828
Er 0.9395 0.6223 0.3172
Te 0.2614 0.7614 0.5000
Te 0.6635 0.6635 0.0000
Pd 0.1680 0.9308 0.2372
Pd 0.6936 0.9308 0.7628

Output
- M_tot: 0.0 μB per cell
- Calculated total energy: -5.972 eV/atom

=====

Compound: Dy3Y2Er2Te2Pd2
Source: OQMD via LeMat-Bulk
Functional: PBE
Structure: optimized geometry

Lattice parameters (Å, degrees): 9.4298 9.4298 9.4298 155.90 66.84 118.72
Fractional positions:
Dy 0.0000 0.0000 0.0000
Dy 0.2870 0.4154 0.8716
Dy 0.5438 0.4154 0.1284
Y 0.6191 0.2626 0.3566
Y 0.9060 0.2626 0.6434
Er 0.3051 0.6227 0.6824
Er 0.9403 0.6227 0.3176
Te 0.2622 0.7622 0.5000
Te 0.6632 0.6632 0.0000
Pd 0.1686 0.9304 0.2382
Pd 0.6922 0.9304 0.7618

Output
- M_tot: 0.0 μB per cell
- Calculated total energy: -5.630 eV/atom

=====

Compound: DyErZn2Pd4
Source: OQMD via LeMat-Bulk
Functional: PBE
Structure: optimized geometry

Lattice parameters (Å, degrees): 4.6641 4.6641 6.6030 90.00 90.00 90.00
Fractional positions:
Dy 0.0000 0.0000 0.0000
Er 0.5000 0.5000 0.5000
Zn 0.0000 0.0000 0.5000
Zn 0.5000 0.5000 0.0000
Pd 0.0000 0.5000 0.2512
Pd 0.0000 0.5000 0.7488
Pd 0.5000 0.0000 0.2512
Pd 0.5000 0.0000 0.7488

Output
- Energy relative to the elements: -0.7540 eV/atom
- M_tot: 0.0 μB per cell
- Calculated total energy: -4.803 eV/atom

=====

Compound: Pm3Dy2Er
Source: OQMD via LeMat-Bulk
Functional: PBE
Structure: optimized geometry

Lattice parameters (Å, degrees): 6.2431 6.2431 11.5915 90.00 90.00 59.91
Fractional positions:
Pm 0.0009 0.9991 0.5000
Pm 0.3329 0.3347 0.0000
Pm 0.3347 0.3329 0.5000
Pm 0.6653 0.6671 0.0000
Pm 0.6671 0.6653 0.5000
Pm 0.9991 0.0009 0.0000
Dy 0.0011 0.3324 0.2500
Dy 0.3324 0.0011 0.7500
Dy 0.6676 0.9989 0.2500
Dy 0.9989 0.6676 0.7500
Er 0.3341 0.6659 0.2500
Er 0.6659 0.3341 0.7500

Output
- Energy relative to the elements: -0.0042 eV/atom
- M_tot: 0.0 μB per cell
- Calculated total energy: -4.671 eV/atom

=====

Compound: PmDyEr
Source: OQMD via LeMat-Bulk
Functional: PBE
Structure: optimized geometry

Lattice parameters (Å, degrees): 5.4247 5.4247 5.4247 60.00 60.00 60.00
Fractional positions:
Pm 0.0000 0.0000 0.0000
Dy 0.5000 0.5000 0.5000
Er 0.7500 0.7500 0.7500

Output
- Energy relative to the elements: 0.7120 eV/atom
- M_tot: 0.1 μB per cell
- Calculated total energy: -3.925 eV/atom

=====

Compound: PrDyEr
Source: OQMD via LeMat-Bulk
Functional: PBE
Structure: optimized geometry

Lattice parameters (Å, degrees): 5.4603 5.4603 5.4603 60.00 60.00 60.00
Fractional positions:
Pr 0.0000 0.0000 0.0000
Dy 0.5000 0.5000 0.5000
Er 0.7500 0.7500 0.7500

Output
- Energy relative to the elements: 0.7057 eV/atom
- M_tot: 0.0 μB per cell
- Calculated total energy: -3.941 eV/atom

=====

Compound: Dy3ErPt4
Source: OQMD via LeMat-Bulk
Functional: PBE
Structure: optimized geometry

Lattice parameters (Å, degrees): 5.5593 4.4943 7.0100 90.00 90.16 90.00
Fractional positions:
Dy 0.0000 0.0000 0.0000
Dy 0.2198 0.0000 0.4990
Dy 0.7193 0.5000 0.6357
Er 0.4999 0.5000 0.1357
Pt 0.0154 0.5000 0.2720
Pt 0.2054 0.5000 0.7739
Pt 0.5147 0.0000 0.8645
Pt 0.7034 0.0000 0.3607

Output
- Energy relative to the elements: -1.2946 eV/atom
- M_tot: 0.0 μB per cell
- Calculated total energy: -6.618 eV/atom

=====

Q: The highest calculated total energy belongs to which entry?
A: PmDyEr

=====

Q: What is the calculated total energy in the second record?
A: -5.273 eV/atom

=====

Q: M_tot of number 1 (Dy5Er2Te2Pd2)?
A: 0.0 μB per cell

=====

Q: Which formula does entry 1 have?
A: Dy5Er2Te2Pd2